13
Lattice="-4.941 1.892 0.747 -4.514 -3.496 1.148 -0.300 0.433 5.474" Properties=species:S:1:pos:R:3 comment="Li2Cu3F8 SCAN single point on PBEsol structure" e_above_lowest_polymorph_ev_per_atom=0.033 total_energy_ev_per_atom=-8.209 magnetic_moment_mub_per_cell=3.00 e_form_raw_ev_per_fu=-28.0 pbc="T T T"
F -7.708 -0.248 6.281
F -5.245 -1.464 5.824
F -5.174 0.424 1.986
F -6.712 -0.735 3.645
F -2.389 0.257 0.904
F -4.448 -2.489 2.849
F -2.761 0.101 3.606
F -4.894 1.248 4.698
Cu -7.919 -1.509 4.834
Cu -1.612 -0.713 2.367
Cu -9.404 -1.590 1.957
Li -3.726 -0.512 5.245
Li -5.987 -1.392 1.910